Ru2AuBr PBE optimized geometry; magnetization = 0.00 μB per cell; E above lowest polymorph = 0.0 kJ per mole of atoms; space-group type = No. 6
1.0
2.9050 0.0000 0.0000
0.0000 2.9380 0.0000
-0.0161 0.0000 8.5975
Ru Au Br
2 1 1
direct
0.0000 0.0000 0.0000 Ru
0.4990 0.5000 0.8181 Ru
0.5015 0.5000 0.2337 Au
0.4970 0.0000 0.5744 Br

***

RuAuBr2 PBE optimized geometry; magnetization = 5.26 μB per cell; E above lowest polymorph = 55.4 kJ per mole of atoms; space-group type = No. 119
1.0
3.8218 0.0000 0.0000
0.0000 3.8218 0.0000
0.0000 0.0000 12.9114
Ru Au Br
2 2 4
direct
0.0000 0.0000 0.0000 Ru
0.5000 0.5000 0.5000 Ru
0.0000 0.5000 0.7500 Au
0.5000 0.0000 0.2500 Au
0.0000 0.0000 0.5000 Br
0.0000 0.5000 0.2500 Br
0.5000 0.0000 0.7500 Br
0.5000 0.5000 0.0000 Br

***

RuAu2Br PBE optimized geometry; magnetization = 2.49 μB per cell; E above lowest polymorph = 0.1 kJ per mole of atoms; space-group type = No. 8
1.0
9.0405 0.0000 0.0000
0.0000 3.1446 0.0000
-1.4434 0.0000 6.5248
Ru Au Br
2 4 2
direct
0.0000 0.0000 0.0000 Ru
0.5000 0.5000 0.0000 Ru
0.0037 0.5000 0.3445 Au
0.2462 0.5000 0.1448 Au
0.5037 0.0000 0.3445 Au
0.7462 0.0000 0.1448 Au
0.4134 0.0000 0.7129 Br
0.9134 0.5000 0.7129 Br

***

Ru2AuBr PBE optimized geometry; magnetization = 0.94 μB per cell; E above lowest polymorph = 45.1 kJ per mole of atoms; space-group type = No. 123
1.0
3.0711 0.0000 0.0000
0.0000 3.0711 0.0000
0.0000 0.0000 6.8531
Ru Au Br
2 1 1
direct
0.0000 0.0000 0.2394 Ru
0.0000 0.0000 0.7606 Ru
0.5000 0.5000 0.5000 Au
0.5000 0.5000 0.0000 Br

***

RuAu2Br PBE optimized geometry; magnetization = 8.54 μB per cell; E above lowest polymorph = 30.9 kJ per mole of atoms; space-group type = No. 122
1.0
8.4507 0.0000 0.0000
0.0000 8.4507 0.0000
0.0000 0.0000 4.9945
Ru Au Br
4 8 4
direct
0.0000 0.0000 0.0000 Ru
0.0000 0.5000 0.2500 Ru
0.5000 0.0000 0.7500 Ru
0.5000 0.5000 0.5000 Ru
0.1842 0.2500 0.1250 Au
0.2500 0.6842 0.3750 Au
0.2500 0.8158 0.8750 Au
0.3158 0.2500 0.6250 Au
0.6842 0.7500 0.6250 Au
0.7500 0.1842 0.8750 Au
0.7500 0.3158 0.3750 Au
0.8158 0.7500 0.1250 Au
0.0000 0.0000 0.5000 Br
0.0000 0.5000 0.7500 Br
0.5000 0.0000 0.2500 Br
0.5000 0.5000 0.0000 Br

***

RuAuBr4 PBE optimized geometry; magnetization = 2.41 μB per cell; E_tot = -1.8617 eV/atom; space-group type = No. 216
1.0
0.0000 4.3048 4.3048
4.3048 0.0000 4.3048
4.3048 4.3048 0.0000
Ru Au Br
1 1 4
direct
0.0000 0.0000 0.0000 Ru
0.7500 0.7500 0.7500 Au
0.3749 0.3749 0.3749 Br
0.3749 0.3749 0.8752 Br
0.3749 0.8752 0.3749 Br
0.8752 0.3749 0.3749 Br